Record 1
First-principles (PBE-GGA) data for crystalline Na5MgCd6 at its relaxed geometry, as listed in Alexandria.

abc: 10.266 4.715 7.348
angles: 71.29 81.80 63.60
Sites, in units of the cell vectors:
Mg  0.000  0.000  0.000
Na  0.000  0.668  0.663
Na  0.500  0.500  0.000
Na  0.000  0.332  0.337
Cd  0.237  0.264  0.000
Na  0.500  0.168  0.665
Cd  0.244  0.917  0.678
Na  0.500  0.832  0.335
Cd  0.756  0.405  0.678
Cd  0.756  0.083  0.322
Cd  0.763  0.736  0.000
Cd  0.244  0.595  0.322

The calculated formation energy comes out at -0.81 eV per formula unit. Its total moment is 0.0 μB/f.u. The space group is C2/m, No. 12.

***

Record 2
First-principles (PBE-GGA) data for crystalline AcTbTe2O8 at its relaxed geometry, as listed in Alexandria.

abc: 6.459 6.459 6.459
angles: 107.25 107.25 114.00
Sites, in units of the cell vectors:
Te  0.500  0.500  0.000
Ac  0.000  0.000  0.000
O  0.735  0.060  0.675
O  0.385  0.060  0.325
O  0.940  0.265  0.325
O  0.497  0.692  0.805
O  0.940  0.615  0.675
O  0.887  0.692  0.195
Te  0.750  0.250  0.500
O  0.308  0.113  0.805
O  0.308  0.503  0.195
Tb  0.250  0.750  0.500

The total energy comes out at -6.4903 eV/atom. Its total moment is 0.0 μB/f.u. The space group is I-4m2, No. 119.

***

Record 3
First-principles (PBE-GGA) data for crystalline AlAgGe at its relaxed geometry, as listed in Alexandria.

abc: 4.766 4.766 5.566
angles: 90.00 90.00 120.00
Sites, in units of the cell vectors:
Ge  0.333  0.667  0.750
Al  0.333  0.667  0.250
Ge  0.667  0.333  0.250
Al  0.667  0.333  0.750
Ag  0.000  0.000  0.000
Ag  0.000  0.000  0.500

The calculated formation energy comes out at 0.65 eV per formula unit. Its total moment is 0.0 μB/f.u. The space group is P6_3/mmc, No. 194.

***

Record 4
First-principles (PBE-GGA) data for crystalline Ba12Zn6In at its relaxed geometry, as listed in Alexandria.

abc: 10.166 10.166 10.166
angles: 108.62 108.62 108.62
Sites, in units of the cell vectors:
Ba  0.126  0.694  0.004
Ba  0.522  0.852  0.623
Zn  0.148  0.638  0.332
Ba  0.478  0.148  0.377
Ba  0.004  0.126  0.694
Zn  0.362  0.668  0.852
Ba  0.694  0.004  0.126
Zn  0.668  0.852  0.362
Zn  0.638  0.332  0.148
Zn  0.332  0.148  0.638
In  0.000  0.000  0.000
Ba  0.996  0.874  0.306
Zn  0.852  0.362  0.668
Ba  0.874  0.306  0.996
Ba  0.623  0.522  0.852
Ba  0.306  0.996  0.874
Ba  0.852  0.623  0.522
Ba  0.377  0.478  0.148
Ba  0.148  0.377  0.478

The calculated formation energy comes out at -0.72 eV per formula unit. Its total moment is 0.0 μB/f.u. The space group is R-3, No. 148.

***

Q: Look up the total moment of the fourth one.
A: 0.0 μB/f.u.